## NiCO2 (GGA+U)

Data for NiCO2 after structural relaxation.

Properties
Electronic total energy, eV per atom: -5.198

a b c (Å): 2.7076 2.7076 19.5811
angles (deg): 90.00 90.00 120.00
Last column: nearest neighbours and their distance in Å.
Space group R-3m (No. 166, hexagonal axes)
Unique sites:
Ni1 0.0000 0.0000 0.0000 (multiplicity 3)  6 O 2.59, 6 Ni 2.71
C1 0.0000 0.0000 0.5000 (multiplicity 3)  2 O 1.19
O1 0.0000 0.0000 0.4391 (multiplicity 6)  1 C 1.19